# CaCrCl2

A relaxed structure of CaCrCl2 (PBE-GGA, Alexandria).

extended XYZ file:
```
4
Lattice="-1.5943 7.2595 7.9670 -0.1076 4.3446 9.9914 2.2220 6.8259 8.1967" Properties=species:S:1:pos:R:3 pbc="T T T"
Cr 0.1300 4.6075 6.5388
Ca 0.3901 13.8225 19.6163
Cl 0.0183 0.6468 0.9179
Cl 0.2418 8.5682 12.1596
```

## Properties
Formation energy from raw total energies = -927 meV/atom
Symmetry = R-3m

***

# LaBe3Pt

A relaxed structure of LaBe3Pt (PBE-GGA, Alexandria).

extended XYZ file:
```
20
Lattice="-5.2019 3.9599 10.6620 -3.7385 -3.8678 6.2694 4.9234 -6.3573 -1.8936" Properties=species:S:1:pos:R:3 pbc="T T T"
Be -1.8395 -2.1326 4.9452
Be 0.6127 -7.7455 5.4603
Be -2.1774 -4.1327 10.0925
Be -4.6297 1.4802 9.5774
Be -1.4662 -0.8206 3.2299
Be -0.1485 -5.7099 5.7431
Be -2.5508 -5.4447 11.8079
Be -3.8684 -0.5554 9.2947
Be 0.4900 -3.6646 5.7095
Be -2.7678 -1.9444 10.6115
Be -4.5070 -2.6006 9.3282
Be -1.2492 -4.3208 4.4262
Pt 0.0780 -2.4576 3.6522
Pt -1.3060 -7.4102 6.7489
Pt -4.0950 -3.8077 11.3856
Pt -2.7109 1.1450 8.2888
La -1.2622 -1.7402 7.7050
La -2.7547 -4.5250 7.3327
La -5.6000 -0.4368 11.7615
La 1.5830 -5.8284 3.2763
```

## Properties
DFT formation energy = -0.333 eV/atom
Symmetry = C2/c

***

Number 1: energy relative to the lowest polymorph listed for this composition 0 kJ/mol of formula units. Number 2: energy relative to the lowest polymorph listed for this composition 76 kJ/mol of formula units.